Computed, not measured: crystalline PmSn3Pt3 at its relaxed geometry at the PBE level of DFT.

Lattice parameters (Å, degrees): 7.2769 7.2769 7.2769 90.00 90.00 90.00
Space group Pm-3n (No. 223)
Inequivalent atoms, fractional coordinates:
Pm  0.0000  0.0000  0.0000
Sn  0.0000  0.2500  0.5000
Pt  0.0000  0.5000  0.2500

- Mass density: 9.36 g/cm3
- Energy of formation from the pure elements: -0.2583 eV per atom
- Energy: -73.38 eV/cell